Record 1
NaUMnTe3: optimized geometry, PBE.

Values from the calculation:
Formation energy without anion corrections = -12.476 kcal/mol of atoms

Cell lengths 8.9517, 4.3487, 10.1007 Å; angles 90.00, 104.52, 90.00 degrees
Last column: nearest neighbours and their distance in Å.
Positions (direct):
Na 0.1949 0.2500 0.2489  6 Te 3.27-3.51
Na 0.8051 0.7500 0.7511  6 Te 3.27-3.51
U 0.3300 0.7500 0.8460  6 Te 3.09-3.11
U 0.6700 0.2500 0.1540  6 Te 3.09-3.11
Mn 0.0798 0.2500 0.5906  4 Te 2.69-2.75, 2 Mn 2.97
Mn 0.9202 0.7500 0.4094  4 Te 2.69-2.75, 2 Mn 2.97
Te 0.0873 0.2500 0.8588  1 Mn 2.69
Te 0.2327 0.7500 0.5281  3 Mn 2.73-2.75
Te 0.4274 0.7500 0.1636  3 U 3.09-3.11, 2 Na 3.27
Te 0.5726 0.2500 0.8364  3 U 3.09-3.11, 2 Na 3.27
Te 0.7673 0.2500 0.4719  3 Mn 2.73-2.75
Te 0.9127 0.7500 0.1412  1 Mn 2.69


Record 2
Na3Mn2VTe6: optimized geometry, PBE.

Values from the calculation:
Formation energy without anion corrections = -11.140 kcal/mol of atoms

Cell lengths 7.0910, 7.0910, 7.8110 Å; angles 98.74, 98.74, 120.06 degrees
Last column: nearest neighbours and their distance in Å.
Positions (direct):
Na 0.0000 0.0000 0.0000  6 Te 3.24-3.25
Na 0.3310 0.6690 0.0000  6 Te 3.23-3.25
Na 0.6690 0.3310 0.0000  6 Te 3.23-3.25
Mn 0.1664 0.8336 0.5000  6 Te 2.80-2.81
Mn 0.8336 0.1664 0.5000  6 Te 2.80-2.81
V 0.5000 0.5000 0.5000  6 Te 2.79-2.80
Te 0.1006 0.4322 0.2986  1 V 2.79, 2 Mn 2.80-2.81
Te 0.2361 0.2361 0.7030  1 V 2.80, 2 Mn 2.81
Te 0.4322 0.1006 0.2986  1 V 2.79, 2 Mn 2.80-2.81
Te 0.5678 0.8994 0.7014  1 V 2.79, 2 Mn 2.80-2.81
Te 0.7639 0.7639 0.2970  1 V 2.80, 2 Mn 2.81
Te 0.8994 0.5678 0.7014  1 V 2.79, 2 Mn 2.80-2.81


Record 3
NaMnZnTe3: optimized geometry, PBE.

Values from the calculation:
Formation energy without anion corrections = -9.537 kcal/mol of atoms

Cell lengths 7.6698, 4.0671, 11.7173 Å; angles 90.00, 104.88, 90.00 degrees
Last column: nearest neighbours and their distance in Å.
Positions (direct):
Na 0.1904 0.2500 0.1811  5 Te 3.29-3.32
Na 0.8096 0.7500 0.8189  5 Te 3.29-3.32
Mn 0.1617 0.7500 0.6192  5 Te 2.73-2.80
Mn 0.8383 0.2500 0.3808  5 Te 2.73-2.80
Zn 0.4029 0.2500 0.8944  4 Te 2.65-2.79
Zn 0.5971 0.7500 0.1056  4 Te 2.65-2.79
Te 0.0763 0.7500 0.3717  3 Mn 2.75-2.80
Te 0.2397 0.7500 0.9708  3 Zn 2.66-2.79
Te 0.4079 0.2500 0.6688  1 Zn 2.65, 2 Mn 2.73
Te 0.5921 0.7500 0.3312  1 Zn 2.65, 2 Mn 2.73
Te 0.7603 0.2500 0.0292  3 Zn 2.66-2.79
Te 0.9237 0.2500 0.6283  3 Mn 2.75-2.80


Record 4
NaZrMnTe3: optimized geometry, PBE.

Values from the calculation:
Formation energy without anion corrections = -13.591 kcal/mol of atoms

Cell lengths 8.7095, 3.8868, 10.6489 Å; angles 90.00, 114.02, 90.00 degrees
Last column: nearest neighbours and their distance in Å.
Positions (direct):
Na 0.0097 0.2500 0.2730  6 Te 3.17-3.35
Na 0.9903 0.7500 0.7270  6 Te 3.17-3.35
Zr 0.4962 0.7500 0.8058  6 Te 2.81-3.05
Zr 0.5038 0.2500 0.1942  6 Te 2.81-3.05
Mn 0.4883 0.2500 0.5502  2 Mn 2.27
Mn 0.5117 0.7500 0.4498  2 Mn 2.27
Te 0.2610 0.7500 0.5312  3 Mn 2.66-2.72, 1 Zr 2.81
Te 0.2666 0.7500 0.2002  1 Mn 2.65, 2 Zr 2.86
Te 0.2956 0.2500 0.8842  3 Zr 2.95-3.05, 2 Na 3.17
Te 0.7044 0.7500 0.1158  3 Zr 2.95-3.05, 2 Na 3.17
Te 0.7334 0.2500 0.7998  1 Mn 2.65, 2 Zr 2.86
Te 0.7390 0.2500 0.4688  3 Mn 2.66-2.72, 1 Zr 2.81


Record 5
Na3ZrMn2Te6: optimized geometry, PBE.

Values from the calculation:
Formation energy without anion corrections = -14.201 kcal/mol of atoms

Cell lengths 7.2076, 7.2076, 7.9264 Å; angles 98.75, 98.75, 119.81 degrees
Last column: nearest neighbours and their distance in Å.
Positions (direct):
Na 0.0000 0.0000 0.0000  6 Te 3.21-3.26
Na 0.3365 0.6635 0.0000  6 Te 3.23-3.25
Na 0.6635 0.3365 0.0000  6 Te 3.23-3.25
Zr 0.5000 0.5000 0.5000  6 Te 2.93
Mn 0.1677 0.8323 0.5000  6 Te 2.86-2.88
Mn 0.8323 0.1677 0.5000  6 Te 2.86-2.88
Te 0.0898 0.4299 0.2868  2 Mn 2.86-2.88, 1 Zr 2.93
Te 0.2292 0.2292 0.7108  2 Mn 2.87, 1 Zr 2.93, 1 Na 3.21
Te 0.4299 0.0898 0.2868  2 Mn 2.86-2.88, 1 Zr 2.93
Te 0.5701 0.9102 0.7132  2 Mn 2.86-2.88, 1 Zr 2.93
Te 0.7708 0.7708 0.2892  2 Mn 2.87, 1 Zr 2.93, 1 Na 3.21
Te 0.9102 0.5701 0.7132  2 Mn 2.86-2.88, 1 Zr 2.93


Record 6
Na2ZrMnTe4: optimized geometry, PBE.

Values from the calculation:
Formation energy without anion corrections = -16.337 kcal/mol of atoms

Cell lengths 7.3929, 4.1422, 7.9156 Å; angles 90.00, 107.98, 90.00 degrees
Last column: nearest neighbours and their distance in Å.
Positions (direct):
Na 0.0000 0.0000 0.0000  6 Te 3.21-3.28
Na 0.5000 0.5000 0.0000  6 Te 3.20-3.26
Zr 0.0000 0.5000 0.5000  6 Te 2.93-2.95
Mn 0.5000 0.0000 0.5000  6 Te 2.86-3.00
Te 0.2382 0.0000 0.7234  2 Zr 2.93, 1 Mn 3.00, 3 Na 3.20-3.21
Te 0.2694 0.5000 0.2912  2 Mn 2.86, 1 Zr 2.95
Te 0.7306 0.5000 0.7088  2 Mn 2.86, 1 Zr 2.95
Te 0.7618 0.0000 0.2766  2 Zr 2.93, 1 Mn 3.00, 3 Na 3.20-3.21


Question: Which of these has the lowest formation energy without anion corrections?
Answer: Na2ZrMnTe4